First-principles (PBE-GGA) data for a relaxed structure of LaGa4CuAu2, as listed in the Alexandria database.

Output
The space group is R-3m, No. 166. The formation energy is -364 meV per atom.

a = 4.4686 Å, b = 4.4686 Å, c = 9.2456 Å
α = 76.02°, β = 76.02°, γ = 60.00°
Element x y z (fractional)
La 0.0000 0.0000 0.0000
Ga 0.4015 0.4015 0.7955
Ga 0.8676 0.8676 0.3973
Ga 0.1324 0.1324 0.6027
Ga 0.5985 0.5985 0.2045
Cu 0.5000 0.5000 0.5000
Au 0.7574 0.7574 0.7277
Au 0.2426 0.2426 0.2723

=====

First-principles (PBE-GGA) data for a relaxed structure of TbYZr2, as listed in the Alexandria database.

Output
The value obtained for the excess energy over the best structure of this formula in the dataset is 0.053 eV per formula unit. The space group is R-3m, No. 166. The formation energy is 138 meV per atom.

a = 3.3487 Å, b = 3.3487 Å, c = 11.1836 Å
α = 81.39°, β = 81.39°, γ = 60.00°
Element x y z (fractional)
Y 0.0000 0.0000 0.0000
Tb 0.5000 0.5000 0.5000
Zr 0.7503 0.7503 0.7491
Zr 0.2497 0.2497 0.2509

=====

First-principles (PBE-GGA) data for a relaxed structure of HoZnNiGe2, as listed in the Alexandria database.

Output
The space group is Pmma, No. 51. The formation energy is -463 meV per atom.

a = 5.6129 Å, b = 5.5548 Å, c = 5.5603 Å
α = 90.00°, β = 90.00°, γ = 90.00°
Element x y z (fractional)
Ho 0.2312 0.2500 0.5000
Ho 0.7688 0.7500 0.5000
Zn 0.6303 0.7500 0.0000
Zn 0.3697 0.2500 0.0000
Ni 0.0000 0.0000 0.0000
Ni 0.0000 0.5000 0.0000
Ge 0.7457 0.2500 0.7348
Ge 0.7457 0.2500 0.2652
Ge 0.2543 0.7500 0.7348
Ge 0.2543 0.7500 0.2652

=====

First-principles (PBE-GGA) data for a relaxed structure of LiSm4Er3S8, as listed in the Alexandria database.

Output
For the formation energy without anion corrections, the calculation gives -1961 meV per atom. The space group is R-3m, No. 166.

a = 7.8264 Å, b = 7.8861 Å, c = 7.8261 Å
α = 119.75°, β = 120.00°, γ = 90.00°
Element x y z (fractional)
Li 0.0000 0.5000 0.0000
Sm 0.5000 0.0000 0.0000
Sm 0.5000 0.0000 0.5000
Sm 0.0000 0.0000 0.0000
Sm 0.0000 0.0000 0.5000
Er 0.5000 0.5000 0.0000
Er 0.5000 0.5000 0.5000
Er 0.0000 0.5000 0.5000
S 0.2423 0.7333 0.9910
S 0.2423 0.7334 0.4847
S 0.2545 0.2635 0.5090
S 0.7488 0.7333 0.9910
S 0.2512 0.2667 0.0090
S 0.7455 0.7365 0.4910
S 0.7577 0.2666 0.5153
S 0.7577 0.2667 0.0090

=====

First-principles (PBE-GGA) data for a relaxed structure of Dy5Ho2ThSc, as listed in the Alexandria database.

Output
The space group is Cmc2_1, No. 36. The formation energy is 170 meV per atom.

a = 5.6324 Å, b = 11.1985 Å, c = 9.4119 Å
α = 90.00°, β = 90.00°, γ = 104.57°
Element x y z (fractional)
Dy 0.3960 0.7919 0.0451
Dy 0.7306 0.4613 0.8249
Dy 0.4703 0.9405 0.7479
Dy 0.3034 0.6068 0.7188
Dy 0.9868 0.9736 0.5140
Dy 0.6040 0.2081 0.5451
Dy 0.2694 0.5387 0.3249
Dy 0.5297 0.0595 0.2479
Dy 0.6966 0.3932 0.2188
Dy 0.0132 0.0264 0.0140
Ho 0.8845 0.7691 0.8222
Ho 0.1325 0.2650 0.7099
Ho 0.1155 0.2309 0.3222
Ho 0.8675 0.7350 0.2099
Th 0.5988 0.1976 0.9264
Th 0.4012 0.8024 0.4264
Sc 0.8111 0.6222 0.5148
Sc 0.1889 0.3778 0.0148

=====

First-principles (PBE-GGA) data for a relaxed structure of K5Se3, as listed in the Alexandria database.

Output
For the formation energy without anion corrections, the calculation gives -1038 meV per atom. The space group is I4/m, No. 87.

a = 9.6973 Å, b = 9.6973 Å, c = 9.6973 Å
α = 95.79°, β = 95.79°, γ = 142.95°
Element x y z (fractional)
K 0.0879 0.2159 0.3039
K 0.2762 0.4073 0.6835
K 0.7841 0.0879 0.8720
K 0.4073 0.7238 0.1311
K 0.7500 0.2500 0.5000
K 0.2500 0.7500 0.5000
K 0.5927 0.2762 0.8689
K 0.2159 0.9121 0.1280
K 0.7238 0.5927 0.3165
K 0.9121 0.7841 0.6961
Se 0.6570 0.8473 0.5043
Se 0.8473 0.3430 0.1903
Se 0.1527 0.6570 0.8097
Se 0.3430 0.1527 0.4957
Se 0.6987 0.6987 0.0000
Se 0.3013 0.3013 0.0000

=====

First-principles (PBE-GGA) data for a relaxed structure of Sr2Tl3Ag2, as listed in the Alexandria database.

Output
The space group is C2/m, No. 12. The formation energy is -251 meV per atom.

a = 4.4965 Å, b = 6.3021 Å, c = 7.9038 Å
α = 97.85°, β = 90.00°, γ = 110.90°
Element x y z (fractional)
Sr 0.6206 0.2412 0.3320
Sr 0.3794 0.7588 0.6680
Tl 0.3017 0.6034 0.1427
Tl 0.0000 0.0000 0.0000
Tl 0.6983 0.3966 0.8573
Ag 0.0867 0.1734 0.6430
Ag 0.9133 0.8266 0.3570

=====

First-principles (PBE-GGA) data for a relaxed structure of La3Nd4Tl, as listed in the Alexandria database.

Output
The space group is Pmmn, No. 59. The formation energy is -85 meV per atom.

a = 5.0483 Å, b = 10.3358 Å, c = 10.3620 Å
α = 90.00°, β = 90.00°, γ = 90.00°
Element x y z (fractional)
Tl 0.0644 0.3709 0.0000
Tl 0.5644 0.6291 0.5000
Nd 0.0644 0.8730 0.0000
Nd 0.5644 0.1287 0.0000
Nd 0.0644 0.1287 0.2441
Nd 0.5644 0.8713 0.2559
Nd 0.0644 0.8713 0.5000
Nd 0.5644 0.1270 0.5000
Nd 0.5644 0.8713 0.7441
Nd 0.0644 0.1287 0.7559
La 0.5644 0.6237 0.0000
La 0.0644 0.6147 0.2492
La 0.5644 0.3853 0.2508
La 0.0644 0.3763 0.5000
La 0.5644 0.3853 0.7492
La 0.0644 0.6147 0.7508